No. 1
GaSn2Bi2: optimized geometry, GGA-PBE.

```
GaSn2Bi2
1.0
8.398 0.000 0.000
0.000 8.398 0.000
0.000 0.000 4.241
Bi Ga Sn
4 2 4
Direct
0.152 0.652 0.500
0.652 0.848 0.500
0.848 0.348 0.500
0.348 0.152 0.500
0.000 0.000 0.000
0.500 0.500 0.000
0.354 0.854 0.000
0.854 0.646 0.000
0.646 0.146 0.000
0.146 0.354 0.000
```

## Properties
Distance to the lowest polymorph of the same formula in meV per atom: 0.0
Calculated formation energy in meV/atom: 159
Space-group type: P4/mbm (127)

***

No. 2
AcDy6Ho2Tm: optimized geometry, GGA-PBE.

```
AcDy6Ho2Tm
1.0
-5.165 7.495 2.616
-6.350 -2.963 -5.452
0.174 -3.252 8.260
Ac Dy Ho Tm
2 12 4 2
Direct
0.250 0.971 0.029
0.750 0.029 0.971
0.057 0.130 0.752
0.443 0.248 0.870
0.943 0.870 0.248
0.557 0.752 0.130
0.318 0.988 0.445
0.182 0.555 0.012
0.682 0.012 0.555
0.818 0.445 0.988
0.116 0.713 0.490
0.384 0.510 0.287
0.884 0.287 0.510
0.616 0.490 0.713
0.451 0.796 0.682
0.049 0.318 0.204
0.549 0.204 0.318
0.951 0.682 0.796
0.250 0.413 0.587
0.750 0.587 0.413
```

## Properties
Calculated formation energy in meV/atom: 131
Space-group type: C2/c (15)

***

No. 3
La2AgSb4Pt3: optimized geometry, GGA-PBE.

```
La2AgSb4Pt3
1.0
-3.413 -3.952 0.767
1.382 -2.095 -4.643
6.799 -5.037 4.297
La Ag Sb Pt
2 1 4 3
Direct
0.500 0.000 0.283
0.000 0.500 0.717
0.500 0.500 0.500
0.500 0.500 0.000
0.000 0.000 0.000
0.500 0.000 0.850
0.000 0.500 0.150
0.000 0.000 0.500
0.500 0.000 0.580
0.000 0.500 0.420
```

## Properties
Energy relative to the elements, uncorrected in kcal/mol of atoms: -6.96
Space-group type: P-4m2 (115)

***

No. 4
Se2NF: optimized geometry, GGA-PBE.

```
Se2NF
1.0
-1.021 -0.667 -5.934
3.761 -4.747 -0.113
-1.273 -4.818 -2.331
N Se F
2 4 2
Direct
0.500 0.500 0.000
0.250 0.750 0.500
0.555 0.125 0.250
0.195 0.625 0.250
0.375 0.445 0.750
0.875 0.805 0.750
0.000 0.000 0.000
0.750 0.250 0.500
```

## Properties
Distance to the lowest polymorph of the same formula in meV per atom: 281.6
Energy relative to the elements, uncorrected in kcal/mol of atoms: 10.57
Space-group type: I-42d (122)

***

Record order is preserved below.
Electronic total energy: -3.600, -4.404, -5.034, -3.833 eV per atom
Record order is preserved below.
Total magnetic moment: 0.0, 0.0, 0.0, 0.0 μB/f.u.